1.
La2TbYTm5 | PBE-GGA | optimized geometry

Summary:
Its formation energy is 0.26 eV per atom. As for the total magnetization: 0.0 μB/f.u. Its calculated volume is 579.0 Å³/cell. Its crystal system is tetragonal. The total energy is -0.335 Ry/atom.

```
La2TbYTm5
1.0
-5.0583 0.8529 -6.8843
4.2485 -6.3545 -3.9088
-4.6130 -2.4738 8.4362
Tm Tb La Y
10 2 4 2
Direct
0.0000 0.0000 0.0000
0.5747 0.6409 0.7156
0.1409 0.0747 0.7156
0.9253 0.4253 0.2844
0.5000 0.5000 0.0000
0.6409 0.1409 0.7156
0.0747 0.5747 0.7156
0.8591 0.9253 0.2844
0.3591 0.8591 0.2844
0.4253 0.3591 0.2844
0.2500 0.2500 0.5000
0.7500 0.7500 0.5000
0.1178 0.3822 0.0000
0.3822 0.8822 0.0000
0.8822 0.6178 0.0000
0.6178 0.1178 0.0000
0.2500 0.7500 0.5000
0.7500 0.2500 0.5000
```

---

2.
PrSm4Cu | PBE-GGA | optimized geometry

Summary:
Its formation energy is -0.03 eV per atom. As for the total magnetization: 0.0 μB/f.u. Its calculated volume is 182.5 Å³/cell. Its crystal system is tetragonal. The total energy is -0.343 Ry/atom.

```
PrSm4Cu
1.0
3.6234 0.0000 0.0000
0.0000 3.6234 0.0000
0.0000 0.0000 13.9007
Sm Cu Pr
4 1 1
Direct
0.0000 0.0000 0.3771
0.0000 0.0000 0.6229
0.5000 0.5000 0.8124
0.5000 0.5000 0.1876
0.5000 0.5000 0.5000
0.0000 0.0000 0.0000
```